Pm6Sb2SeS3 | PBE | relaxed

Computed properties:
Total magnetic moment, μB/cell: 0.00
V, A^3/atom: 26.6
Crystal system: monoclinic
ΔE_f (raw), meV/atom: -1692

Geometry as CIF:
```
data_Pm6Sb2SeS3
_chemical_formula_sum 'Pm12 Sb4 Se2 S6'
_cell_length_a 18.449
_cell_length_b 4.204
_cell_length_c 8.471
_cell_angle_alpha 90.00
_cell_angle_beta 103.95
_cell_angle_gamma 90.00
_symmetry_space_group_name_H-M 'C 1 2/m 1'
_symmetry_Int_Tables_number 12
loop_
_symmetry_equiv_pos_as_xyz
'x,y,z'
'-x,-y,-z'
'-x,y,-z'
'x,-y,z'
'x+1/2,y+1/2,z'
'-x+1/2,-y+1/2,-z'
'-x+1/2,y+1/2,-z'
'x+1/2,-y+1/2,z'
loop_
_atom_site_label
_atom_site_fract_x
_atom_site_fract_y
_atom_site_fract_z
Pm1 0.006 0.000 0.240
Pm2 0.160 0.500 0.099
Pm3 0.170 0.500 0.569
Sb1 0.166 0.000 0.834
Se1 0.000 0.500 0.500
S1 0.000 0.500 0.000
S2 0.168 0.000 0.337
```